Record 1
## SrZrNi (PBE-GGA)

Data for an optimized crystal structure of SrZrNi.

Cell: 3.4332 3.4332 12.7238 Å, 90.00 90.00 90.00°
With the nearest neighbours (Å) after each atom.
Space group I4mm (No. 107)
One atom of each set of equivalent atoms:
Sr1 0.0000 0.0000 0.0000 x2  4 Ni 3.40, 1 Zr 3.41, 4 Sr 3.43
Zr1 0.0000 0.0000 0.2678 x2  4 Ni 2.64
Ni1 0.0000 0.0000 0.6871 x2  4 Zr 2.64


Record 2
## Sc5In2Ni2Rh (PBE-GGA)

Data for an optimized crystal structure of Sc5In2Ni2Rh.

Cell: 10.9175 10.9175 3.2552 Å, 90.00 90.00 90.00°
With the nearest neighbours (Å) after each atom.
Space group P4/mbm (No. 127)
One atom of each set of equivalent atoms:
Sc1 0.0000 0.5000 0.0000 x2  4 Ni 2.61
Sc2 0.0659 0.1972 0.0000 x8  2 Ni 2.58, 2 Rh 2.79
In1 0.1750 0.6750 0.5000 x4  1 Ni 2.98, 6 Sc 3.15-3.27, 2 In 3.26
Ni1 0.1318 0.3682 0.5000 x4  6 Sc 2.58-2.61
Rh1 0.0000 0.0000 0.5000 x2  8 Sc 2.79


Record 3
## Mg2InNi (PBE-GGA)

Data for an optimized crystal structure of Mg2InNi.

Cell: 4.1556 4.1556 4.1861 Å, 90.00 90.00 90.00°
With the nearest neighbours (Å) after each atom.
Space group P4/mmm (No. 123)
One atom of each set of equivalent atoms:
Mg1 0.0000 0.5000 0.0000 x2  4 Mg 2.94, 4 In 2.95, 4 Ni 2.95
In1 0.0000 0.0000 0.5000 x1  4 Ni 2.94, 8 Mg 2.95
Ni1 0.5000 0.5000 0.5000 x1  4 In 2.94, 8 Mg 2.95


Record 4
## MgHg2PRu (PBE-GGA)

Data for an optimized crystal structure of MgHg2PRu.

Cell: 5.1855 5.1855 4.9770 Å, 90.00 90.00 90.00°
With the nearest neighbours (Å) after each atom.
Space group P4/mmm (No. 123)
One atom of each set of equivalent atoms:
Mg1 0.0000 0.0000 0.0000 x1  2 Ru 2.49
Hg1 0.0000 0.5000 0.5000 x2  2 Ru 2.59
P1 0.5000 0.5000 0.0000 x1  8 Hg 3.59, 4 Mg 3.67
Ru1 0.0000 0.0000 0.5000 x1  2 Mg 2.49, 4 Hg 2.59


Number 1: formation energy 4 kJ/mol of atoms. Number 2: formation energy -53 kJ/mol of atoms. Number 3: formation energy -5 kJ/mol of atoms. Number 4: formation energy 91 kJ/mol of atoms.